Entry 1:
The following is a PBE-GGA calculation of TaTl2Pb2Se6 after structural relaxation, from the Alexandria database.

Computed properties:
* crystal system: monoclinic
* formation energy from raw total energies: -529 meV per atom
* space group: C2/m, No. 12

Cell lengths 7.2297, 7.2297, 7.7994 Å; angles 99.43, 99.43, 118.80 degrees
With the nearest neighbours (Å) after each atom.
Sites, in units of the cell vectors:
Ta: 0.0000 0.0000 0.5000  6 Se 2.60-2.61
Tl: 0.8299 0.1701 0.0000  6 Se 3.15-3.42
Tl: 0.1701 0.8299 0.0000  6 Se 3.15-3.42
Pb: 0.3286 0.6714 0.5000  6 Se 2.96-3.06
Pb: 0.6714 0.3286 0.5000  6 Se 2.96-3.06
Se: 0.7841 0.7841 0.7064  1 Ta 2.60
Se: 0.0747 0.3651 0.7085  1 Ta 2.61
Se: 0.2159 0.2159 0.2936  1 Ta 2.60
Se: 0.3651 0.0747 0.7085  1 Ta 2.61
Se: 0.9253 0.6349 0.2915  1 Ta 2.61
Se: 0.6349 0.9253 0.2915  1 Ta 2.61

=====

Entry 2:
The following is a PBE-GGA calculation of Tb4PbSe3 after structural relaxation, from the Alexandria database.

Computed properties:
* crystal system: orthorhombic
* formation energy from raw total energies: -1456 meV per atom
* space group: Pmmm, No. 47

Cell lengths 4.1815, 5.9434, 8.4350 Å; angles 90.00, 90.00, 90.00 degrees
With the nearest neighbours (Å) after each atom.
Sites, in units of the cell vectors:
Pb: 0.0000 0.0000 0.0000  6 Tb 2.97-3.03
Tb: 0.0000 0.5000 0.5000  6 Se 2.94-2.97
Tb: 0.5000 0.0000 0.7393  4 Se 2.91-2.97, 2 Pb 3.03
Tb: 0.0000 0.5000 0.0000  2 Pb 2.97, 4 Se 3.00
Tb: 0.5000 0.0000 0.2607  4 Se 2.91-2.97, 2 Pb 3.03
Se: 0.5000 0.5000 0.2543  6 Tb 2.94-3.00
Se: 0.0000 0.0000 0.5000  6 Tb 2.91-2.97
Se: 0.5000 0.5000 0.7457  6 Tb 2.94-3.00

=====

no.,calculated total energy (eV/atom)
1,-4.611
2,-5.541